## KMo2PtO8 (PBE with a Hubbard U)

Data for crystalline KMo2PtO8 at its relaxed geometry.

Computed properties:
N(E_F) (states/eV per atom): 0.411
Raw total energy (eV per formula unit): -76.92

The structure in extended XYZ format:
```
12
Lattice="5.541 0.000 0.000 -2.771 4.799 0.000 0.000 0.000 7.796" Properties=species:S:1:pos:R:3 pbc="T T T"
K 0.000 0.000 0.000
Mo 0.000 3.199 5.667
Mo 2.771 1.600 2.129
Pt 0.000 0.000 3.898
O -0.579 1.549 5.136
O -1.140 4.526 5.136
O 1.052 1.276 2.660
O 0.000 3.199 7.418
O 2.771 1.600 0.378
O 1.719 3.523 5.136
O 3.910 0.273 2.660
O 3.349 3.250 2.660
```